Density functional theory data (PBE-GGA) for a geometry-optimized U2Pd7Pt2 structure.

- formation enthalpy at 0 K (eV per atom) = -0.382
- space-group type = C2/m, No. 12

Cell lengths 5.844, 5.844, 6.245 Å; angles 105.34, 105.34, 89.36 degrees
Positions (direct):
U (0.226, 0.774, 0.000)
U (0.774, 0.226, 0.000)
Pd (0.000, 0.000, 0.500)
Pd (0.094, 0.530, 0.324)
Pd (0.425, 0.425, 0.678)
Pd (0.470, 0.906, 0.676)
Pd (0.530, 0.094, 0.324)
Pd (0.575, 0.575, 0.322)
Pd (0.906, 0.470, 0.676)
Pt (0.239, 0.239, 0.955)
Pt (0.761, 0.761, 0.045)